A relaxed RbPuSe3 crystal. Source: Alexandria via LeMat-Bulk, functional PBE.

Values from the calculation:
E_form (uncorrected): -539 kJ/mol of formula units
Space group: C2/m
Energy relative to the lowest polymorph listed for this composition: 7.1 meV/atom
Raw total energy: -6.268 eV/atom
V: 355 Å³/cell
Fermi-level density of states: 8.7 states/eV/f.u.

abc: 4.239 9.302 10.266
angles: 114.92 90.00 103.17
Last column: magnetic moment on the atom in μB.
Sites, in units of the cell vectors:
Rb: 0.613 0.225 0.300  0.01
Rb: 0.387 0.775 0.700  0.01
Pu: 0.814 0.628 0.191  -4.74
Pu: 0.186 0.372 0.809  -4.74
Se: 0.985 0.971 0.377  0.16
Se: 0.015 0.029 0.623  0.16
Se: 0.349 0.698 0.038  0.19
Se: 0.651 0.302 0.962  0.19
Se: 0.274 0.549 0.328  0.18
Se: 0.726 0.451 0.672  0.18